# 1
! MnSiBr PBE-GGA optimized geometry; values from VASP
! space-group type	F-43m (216)
! relative energy among the computed polymorphs	758	meV per atom
! DOS at the Fermi energy	3.1	states/eV/f.u.
&SYSTEM
  ibrav = 0, nat = 3, ntyp = 3
/
ATOMIC_SPECIES
Mn 54.94 Mn.upf
Si 28.09 Si.upf
Br 79.90 Br.upf
CELL_PARAMETERS angstrom
0.000 3.252 3.252
3.252 0.000 3.252
3.252 3.252 0.000
ATOMIC_POSITIONS crystal
Mn 0.000 0.000 0.000
Si 0.250 0.250 0.250
Br 0.500 0.500 0.500



# 2
! Ac2PmHoSe5 PBE-GGA optimized geometry; values from VASP
! space-group type	P4/mmm (123)
! DOS at the Fermi energy	4.8	states/eV/f.u.
&SYSTEM
  ibrav = 0, nat = 9, ntyp = 4
/
ATOMIC_SPECIES
Ac 227.00 Ac.upf
Pm 145.00 Pm.upf
Ho 164.93 Ho.upf
Se 78.96 Se.upf
CELL_PARAMETERS angstrom
5.135 0.000 0.000
0.000 5.135 0.000
0.000 0.000 11.040
ATOMIC_POSITIONS crystal
Ac 0.000 0.000 0.211
Ac 0.000 0.000 0.789
Pm 0.500 0.500 0.500
Ho 0.500 0.500 0.000
Se 0.000 0.000 0.500
Se 0.000 0.500 0.000
Se 0.500 0.000 0.000
Se 0.500 0.500 0.252
Se 0.500 0.500 0.748



# 3
! Na3InSn3S8 PBE-GGA optimized geometry; values from VASP
! space-group type	C2/m (12)
! DOS at the Fermi energy	4.0	states/eV/f.u.
&SYSTEM
  ibrav = 0, nat = 15, ntyp = 4
/
ATOMIC_SPECIES
Na 22.99 Na.upf
In 114.82 In.upf
Sn 118.71 Sn.upf
S 32.06 S.upf
CELL_PARAMETERS angstrom
6.653 -3.840 0.000
6.653 3.840 0.000
-4.441 0.000 6.880
ATOMIC_POSITIONS crystal
Na 0.000 0.000 0.000
Na 0.000 0.500 0.000
Na 0.500 0.000 0.000
In 0.000 0.000 0.500
Sn 0.000 0.500 0.500
Sn 0.500 0.000 0.500
Sn 0.500 0.500 0.500
S 0.236 0.743 0.716
S 0.237 0.237 0.716
S 0.257 0.764 0.284
S 0.258 0.258 0.275
S 0.742 0.742 0.725
S 0.743 0.236 0.716
S 0.763 0.763 0.284
S 0.764 0.257 0.284



# 4
! MnCrGe2 PBE-GGA optimized geometry; values from VASP
! space-group type	Fm-3m (225)
! relative energy among the computed polymorphs	0	meV per atom
! DFT formation energy	0.12	eV/atom
! DOS at the Fermi energy	1.7	states/eV/f.u.
&SYSTEM
  ibrav = 0, nat = 4, ntyp = 3
/
ATOMIC_SPECIES
Mn 54.94 Mn.upf
Cr 52.00 Cr.upf
Ge 72.64 Ge.upf
CELL_PARAMETERS angstrom
0.000 2.983 2.983
2.983 0.000 2.983
2.983 2.983 0.000
ATOMIC_POSITIONS crystal
Mn 0.000 0.000 0.000
Cr 0.500 0.500 0.500
Ge 0.250 0.250 0.250
Ge 0.750 0.750 0.750



# 5
! La3TbF PBE-GGA optimized geometry; values from VASP
! space-group type	Pm-3m (221)
! DOS at the Fermi energy	5.8	states/eV/f.u.
&SYSTEM
  ibrav = 0, nat = 5, ntyp = 3
/
ATOMIC_SPECIES
La 138.91 La.upf
Tb 158.93 Tb.upf
F 19.00 F.upf
CELL_PARAMETERS angstrom
5.266 0.000 0.000
0.000 5.266 0.000
0.000 0.000 5.266
ATOMIC_POSITIONS crystal
La 0.000 0.000 0.500
La 0.000 0.500 0.000
La 0.500 0.000 0.000
Tb 0.500 0.500 0.500
F 0.000 0.000 0.000



# 6
! Pm4PrPt5 PBE-GGA optimized geometry; values from VASP
! space-group type	P4/mmm (123)
! DFT formation energy	-1.07	eV/atom
! DOS at the Fermi energy	7.8	states/eV/f.u.
&SYSTEM
  ibrav = 0, nat = 10, ntyp = 3
/
ATOMIC_SPECIES
Pm 145.00 Pm.upf
Pr 140.91 Pr.upf
Pt 195.08 Pt.upf
CELL_PARAMETERS angstrom
3.576 0.000 0.000
0.000 3.576 0.000
0.000 0.000 18.170
ATOMIC_POSITIONS crystal
Pm 0.000 0.000 0.099
Pm 0.000 0.000 0.298
Pm 0.000 0.000 0.702
Pm 0.000 0.000 0.901
Pr 0.000 0.000 0.500
Pt 0.500 0.500 0.000
Pt 0.500 0.500 0.198
Pt 0.500 0.500 0.396
Pt 0.500 0.500 0.604
Pt 0.500 0.500 0.802



# 7
! Hg2ClOF PBE-GGA optimized geometry; values from VASP
! space-group type	C2/m (12)
! DOS at the Fermi energy	1.4	states/eV/f.u.
&SYSTEM
  ibrav = 0, nat = 10, ntyp = 4
/
ATOMIC_SPECIES
Hg 200.59 Hg.upf
Cl 35.45 Cl.upf
O 16.00 O.upf
F 19.00 F.upf
CELL_PARAMETERS angstrom
6.549 -1.892 0.000
6.549 1.892 0.000
-5.379 0.000 7.824
ATOMIC_POSITIONS crystal
Hg 0.087 0.087 0.338
Hg 0.341 0.341 0.927
Hg 0.659 0.659 0.073
Hg 0.913 0.913 0.662
Cl 0.342 0.342 0.415
Cl 0.658 0.658 0.585
O 0.446 0.446 0.815
O 0.554 0.554 0.185
F 0.159 0.159 0.897
F 0.841 0.841 0.103



# 8
! LiEr2Si3Pt4 PBE-GGA optimized geometry; values from VASP
! space-group type	P-4m2 (115)
! DOS at the Fermi energy	4.2	states/eV/f.u.
&SYSTEM
  ibrav = 0, nat = 10, ntyp = 4
/
ATOMIC_SPECIES
Li 6.94 Li.upf
Er 167.26 Er.upf
Si 28.09 Si.upf
Pt 195.08 Pt.upf
CELL_PARAMETERS angstrom
4.145 0.000 0.000
0.000 4.145 0.000
0.000 0.000 9.969
ATOMIC_POSITIONS crystal
Li 0.000 0.000 0.000
Er 0.000 0.500 0.754
Er 0.500 0.000 0.246
Si 0.000 0.500 0.364
Si 0.500 0.000 0.636
Si 0.500 0.500 0.000
Pt 0.000 0.000 0.500
Pt 0.000 0.500 0.131
Pt 0.500 0.000 0.869
Pt 0.500 0.500 0.500



# 9
! Ga2AgSb PBE-GGA optimized geometry; values from VASP
! space-group type	R-3m (166)
! DOS at the Fermi energy	1.6	states/eV/f.u.
&SYSTEM
  ibrav = 0, nat = 4, ntyp = 3
/
ATOMIC_SPECIES
Ga 69.72 Ga.upf
Ag 107.87 Ag.upf
Sb 121.76 Sb.upf
CELL_PARAMETERS angstrom
1.591 0.918 9.856
-1.591 0.918 9.856
0.000 -1.837 9.856
ATOMIC_POSITIONS crystal
Ga 0.096 0.096 0.096
Ga 0.904 0.904 0.904
Ag 0.500 0.500 0.500
Sb 0.000 0.000 0.000



# 10
! DyAg2BiTe4 PBE-GGA optimized geometry; values from VASP
! space-group type	P2/m (10)
! DOS at the Fermi energy	0.2	states/eV/f.u.
&SYSTEM
  ibrav = 0, nat = 8, ntyp = 4
/
ATOMIC_SPECIES
Dy 162.50 Dy.upf
Ag 107.87 Ag.upf
Bi 208.98 Bi.upf
Te 127.60 Te.upf
CELL_PARAMETERS angstrom
7.464 0.000 0.000
0.000 4.423 0.000
-2.612 0.000 7.204
ATOMIC_POSITIONS crystal
Dy 0.000 0.000 0.000
Ag 0.500 0.000 0.500
Ag 0.500 0.500 0.000
Bi 0.000 0.500 0.500
Te 0.257 0.500 0.248
Te 0.264 0.000 0.758
Te 0.736 0.000 0.242
Te 0.743 0.500 0.752



# 11
! Pm5Tl PBE-GGA optimized geometry; values from VASP
! space-group type	Cmmm (65)
! relative energy among the computed polymorphs	63	meV per atom
! DFT formation energy	-0.04	eV/atom
! DOS at the Fermi energy	7.5	states/eV/f.u.
&SYSTEM
  ibrav = 0, nat = 6, ntyp = 2
/
ATOMIC_SPECIES
Pm 145.00 Pm.upf
Tl 204.38 Tl.upf
CELL_PARAMETERS angstrom
2.913 -5.588 0.000
2.913 5.588 0.000
0.000 0.000 5.888
ATOMIC_POSITIONS crystal
Pm 0.000 0.000 0.000
Pm 0.157 0.843 0.500
Pm 0.342 0.658 0.000
Pm 0.658 0.342 0.000
Pm 0.843 0.157 0.500
Tl 0.500 0.500 0.500



# 12
! LiRuBr PBE-GGA optimized geometry; values from VASP
! space-group type	P2_1/m (11)
! relative energy among the computed polymorphs	24	meV per atom
! DOS at the Fermi energy	2.1	states/eV/f.u.
&SYSTEM
  ibrav = 0, nat = 6, ntyp = 3
/
ATOMIC_SPECIES
Li 6.94 Li.upf
Ru 101.07 Ru.upf
Br 79.90 Br.upf
CELL_PARAMETERS angstrom
3.374 0.000 0.000
0.000 3.374 0.000
-0.032 0.000 9.837
ATOMIC_POSITIONS crystal
Li 0.249 0.250 0.260
Li 0.751 0.750 0.740
Ru 0.250 0.250 0.548
Ru 0.750 0.750 0.452
Br 0.252 0.250 0.825
Br 0.748 0.750 0.175



Calculated electronic total energy, -4.57, -5.39, -4.12, -6.89, -5.27, -6.46, -2.53, -6.20, -3.16, -3.83, -4.40, -4.63 eV per atom (same order as the records).